The following is a PBE-GGA calculation of a geometry-optimized Na2PuHg5 structure, from Alexandria via LeMat-Bulk.

Calculated values
- Mass density: 10.524 Mg/m³
- Size of the total moment: 5.8 μB per formula unit
- Calculated formation energy: -0.172 eV/atom
- Total DFT energy (no corrections): -2.48 eV/atom

Structure (extended XYZ):
```
8
Lattice="-0.388 -4.645 -1.264 1.779 -1.316 4.293 -8.796 2.763 1.776" Properties=species:S:1:pos:R:3 pbc="T T T"
Hg -2.251 -2.378 0.204
Hg 0.695 -2.981 1.515
Hg -5.154 -0.821 4.601
Pu 0.000 0.000 0.000
Hg -6.238 -2.485 1.823
Na -3.340 -3.089 3.154
Hg -1.167 -0.714 2.982
Na -4.065 -0.109 1.651
```